1.
# BaAlTc2 (PBE-GGA, relaxed)
# Formation energy in eV/atom: 1.024
# Total moment in μB per formula unit: 0.000
data_BaAlTc2
_cell_length_a 3.2280
_cell_length_b 4.4950
_cell_length_c 5.3788
_cell_angle_alpha 90.00
_cell_angle_beta 90.00
_cell_angle_gamma 90.00
_symmetry_space_group_name_H-M 'P m m m'
_symmetry_Int_Tables_number 47
loop_
_symmetry_equiv_pos_as_xyz
'x,y,z'
'-x,-y,-z'
'-x,-y,z'
'x,y,-z'
'x,-y,-z'
'-x,y,z'
'-x,y,-z'
'x,-y,z'
loop_
_atom_site_label
_atom_site_type_symbol
_atom_site_fract_x
_atom_site_fract_y
_atom_site_fract_z
_atom_site_occupancy
Ba1 Ba 0.0000 0.0000 0.0000 1
Al1 Al 0.5000 0.0000 0.5000 1
Tc1 Tc 0.0000 0.5000 0.5000 1
Tc2 Tc 0.5000 0.5000 0.0000 1



2.
# BaAl2Tc (PBE-GGA, relaxed)
# Formation energy in eV/atom: 0.562
# Total moment in μB per formula unit: 2.268
# E above lowest polymorph in meV per atom: 641
data_BaAl2Tc
_cell_length_a 7.0786
_cell_length_b 7.0786
_cell_length_c 7.0786
_cell_angle_alpha 90.00
_cell_angle_beta 90.00
_cell_angle_gamma 90.00
_symmetry_space_group_name_H-M 'F m -3 m'
_symmetry_Int_Tables_number 225
_symmetry_space_group_name_Hall '-F 4 2 3'
loop_
_atom_site_label
_atom_site_type_symbol
_atom_site_fract_x
_atom_site_fract_y
_atom_site_fract_z
_atom_site_occupancy
Ba1 Ba 0.0000 0.0000 0.0000 1
Al1 Al 0.2500 0.2500 0.2500 1
Tc1 Tc 0.0000 0.0000 0.5000 1



3.
# BaAl3Tc (PBE-GGA, relaxed)
# Formation energy in eV/atom: 0.111
# Total moment in μB per formula unit: 0.000
# E above lowest polymorph in meV per atom: 428
data_BaAl3Tc
_cell_length_a 3.6848
_cell_length_b 7.8249
_cell_length_c 8.2776
_cell_angle_alpha 90.00
_cell_angle_beta 90.22
_cell_angle_gamma 90.00
_symmetry_space_group_name_H-M 'P 1 21/m 1'
_symmetry_Int_Tables_number 11
loop_
_symmetry_equiv_pos_as_xyz
'x,y,z'
'-x,-y,-z'
'-x,y+1/2,-z'
'x,-y+1/2,z'
loop_
_atom_site_label
_atom_site_type_symbol
_atom_site_fract_x
_atom_site_fract_y
_atom_site_fract_z
_atom_site_occupancy
Ba1 Ba 0.2484 0.2500 0.1058 1
Al1 Al 0.2470 0.0592 0.6695 1
Al2 Al 0.2526 0.7500 0.5257 1
Tc1 Tc 0.2525 0.7500 0.2251 1



4.
# BaAlTc2 (PBE-GGA, relaxed)
# Formation energy in eV/atom: 0.365
# Total moment in μB per formula unit: 0.000
data_BaAlTc2
_cell_length_a 3.4233
_cell_length_b 3.4233
_cell_length_c 7.3799
_cell_angle_alpha 90.00
_cell_angle_beta 90.00
_cell_angle_gamma 90.00
_symmetry_space_group_name_H-M 'P 4/m m m'
_symmetry_Int_Tables_number 123
_symmetry_space_group_name_Hall '-P 4 2'
loop_
_atom_site_label
_atom_site_type_symbol
_atom_site_fract_x
_atom_site_fract_y
_atom_site_fract_z
_atom_site_occupancy
Ba1 Ba 0.0000 0.0000 0.0000 1
Al1 Al 0.0000 0.0000 0.5000 1
Tc1 Tc 0.5000 0.5000 0.3467 1



5.
# BaAl3Tc (PBE-GGA, relaxed)
# Formation energy in eV/atom: 0.608
# Total moment in μB per formula unit: 0.000
# E above lowest polymorph in meV per atom: 925
data_BaAl3Tc
_cell_length_a 4.2982
_cell_length_b 4.2982
_cell_length_c 19.6183
_cell_angle_alpha 90.00
_cell_angle_beta 90.00
_cell_angle_gamma 120.00
_symmetry_space_group_name_H-M 'P 63/m m c'
_symmetry_Int_Tables_number 194
_symmetry_space_group_name_Hall '-P 6c 2c'
loop_
_atom_site_label
_atom_site_type_symbol
_atom_site_fract_x
_atom_site_fract_y
_atom_site_fract_z
_atom_site_occupancy
Ba1 Ba 0.0000 0.0000 0.0000 1
Al1 Al 0.0000 0.0000 0.2500 1
Al2 Al 0.3333 0.6667 0.1303 1
Tc1 Tc 0.3333 0.6667 0.2500 1



6.
# BaAl3Tc (PBE-GGA, relaxed)
# Formation energy in eV/atom: -0.189
# Total moment in μB per formula unit: 0.000
# E above lowest polymorph in meV per atom: 128
data_BaAl3Tc
_cell_length_a 12.3333
_cell_length_b 4.4786
_cell_length_c 8.7265
_cell_angle_alpha 90.00
_cell_angle_beta 109.25
_cell_angle_gamma 90.00
_symmetry_space_group_name_H-M 'C 1 2/m 1'
_symmetry_Int_Tables_number 12
loop_
_symmetry_equiv_pos_as_xyz
'x,y,z'
'-x,-y,-z'
'-x,y,-z'
'x,-y,z'
'x+1/2,y+1/2,z'
'-x+1/2,-y+1/2,-z'
'-x+1/2,y+1/2,-z'
'x+1/2,-y+1/2,z'
loop_
_atom_site_label
_atom_site_type_symbol
_atom_site_fract_x
_atom_site_fract_y
_atom_site_fract_z
_atom_site_occupancy
Ba1 Ba 0.2009 0.0000 0.1479 1
Al1 Al 0.0124 0.5000 0.8487 1
Al2 Al 0.0322 0.0000 0.6732 1
Al3 Al 0.1992 0.0000 0.5289 1
Tc1 Tc 0.0837 0.5000 0.4579 1



7.
# BaAl2Tc (PBE-GGA, relaxed)
# Formation energy in eV/atom: 0.755
# Total moment in μB per formula unit: 0.842
# E above lowest polymorph in meV per atom: 834
data_BaAl2Tc
_cell_length_a 4.1773
_cell_length_b 4.1773
_cell_length_c 4.9972
_cell_angle_alpha 90.00
_cell_angle_beta 90.00
_cell_angle_gamma 90.00
_symmetry_space_group_name_H-M 'P 4/m m m'
_symmetry_Int_Tables_number 123
_symmetry_space_group_name_Hall '-P 4 2'
loop_
_atom_site_label
_atom_site_type_symbol
_atom_site_fract_x
_atom_site_fract_y
_atom_site_fract_z
_atom_site_occupancy
Ba1 Ba 0.0000 0.0000 0.0000 1
Al1 Al 0.0000 0.5000 0.5000 1
Tc1 Tc 0.5000 0.5000 0.0000 1



8.
# BaAl2Tc (PBE-GGA, relaxed)
# Formation energy in eV/atom: 0.304
# Total moment in μB per formula unit: 0.780
# E above lowest polymorph in meV per atom: 383
data_BaAl2Tc
_cell_length_a 5.4051
_cell_length_b 5.4051
_cell_length_c 16.4739
_cell_angle_alpha 90.00
_cell_angle_beta 90.00
_cell_angle_gamma 90.00
_symmetry_space_group_name_H-M 'I 41/a m d'
_symmetry_Int_Tables_number 141
loop_
_symmetry_equiv_pos_as_xyz
'x,y,z'
'-x,-y,-z'
'-y+1/4,x+3/4,z+1/4'
'y+1/4,-x+3/4,-z+1/4'
'-x+1/2,-y,z+1/2'
'x+1/2,y,-z+1/2'
'y+1/4,-x+1/4,z+3/4'
'-y+1/4,x+1/4,-z+3/4'
'x,-y,-z'
'-x,y,z'
'-y+1/4,-x+1/4,-z+3/4'
'y+1/4,x+1/4,z+3/4'
'-x+1/2,y,-z+1/2'
'x+1/2,-y,z+1/2'
'y+1/4,x+3/4,-z+1/4'
'-y+1/4,-x+3/4,z+1/4'
'x+1/2,y+1/2,z+1/2'
'-x+1/2,-y+1/2,-z+1/2'
'-y+3/4,x+1/4,z+3/4'
'y+3/4,-x+1/4,-z+3/4'
'-x,-y+1/2,z'
'x,y+1/2,-z'
'y+3/4,-x+3/4,z+1/4'
'-y+3/4,x+3/4,-z+1/4'
'x+1/2,-y+1/2,-z+1/2'
'-x+1/2,y+1/2,z+1/2'
'-y+3/4,-x+3/4,-z+1/4'
'y+3/4,x+3/4,z+1/4'
'-x,y+1/2,-z'
'x,-y+1/2,z'
'y+3/4,x+1/4,-z+3/4'
'-y+3/4,-x+1/4,z+3/4'
loop_
_atom_site_label
_atom_site_type_symbol
_atom_site_fract_x
_atom_site_fract_y
_atom_site_fract_z
_atom_site_occupancy
Ba1 Ba 0.0000 0.2500 0.3750 1
Al1 Al 0.0000 0.0000 0.0000 1
Tc1 Tc 0.0000 0.2500 0.8750 1



9.
# BaAl2Tc (PBE-GGA, relaxed)
# Formation energy in eV/atom: 0.521
# Total moment in μB per formula unit: 0.347
# E above lowest polymorph in meV per atom: 600
data_BaAl2Tc
_cell_length_a 4.5922
_cell_length_b 4.5922
_cell_length_c 8.0367
_cell_angle_alpha 90.00
_cell_angle_beta 90.00
_cell_angle_gamma 90.00
_symmetry_space_group_name_H-M 'I 4/m m m'
_symmetry_Int_Tables_number 139
_symmetry_space_group_name_Hall '-I 4 2'
loop_
_atom_site_label
_atom_site_type_symbol
_atom_site_fract_x
_atom_site_fract_y
_atom_site_fract_z
_atom_site_occupancy
Ba1 Ba 0.0000 0.0000 0.0000 1
Al1 Al 0.0000 0.5000 0.2500 1
Tc1 Tc 0.0000 0.0000 0.5000 1



10.
# BaAl3Tc (PBE-GGA, relaxed)
# Formation energy in eV/atom: 0.025
# Total moment in μB per formula unit: 0.000
# E above lowest polymorph in meV per atom: 343
data_BaAl3Tc
_cell_length_a 3.6813
_cell_length_b 3.6813
_cell_length_c 8.4140
_cell_angle_alpha 90.00
_cell_angle_beta 90.00
_cell_angle_gamma 90.00
_symmetry_space_group_name_H-M 'P 4 m m'
_symmetry_Int_Tables_number 99
loop_
_symmetry_equiv_pos_as_xyz
'x,y,z'
'-y,x,z'
'-x,-y,z'
'y,-x,z'
'-x,y,z'
'y,x,z'
'x,-y,z'
'-y,-x,z'
loop_
_atom_site_label
_atom_site_type_symbol
_atom_site_fract_x
_atom_site_fract_y
_atom_site_fract_z
_atom_site_occupancy
Ba1 Ba 0.0000 0.0000 0.0000 1
Al1 Al 0.0000 0.0000 0.6122 1
Al2 Al 0.0000 0.5000 0.3566 1
Tc1 Tc 0.5000 0.5000 0.5999 1



11.
# BaAlTc2 (PBE-GGA, relaxed)
# Formation energy in eV/atom: 0.117
# Total moment in μB per formula unit: 0.000
data_BaAlTc2
_cell_length_a 7.6798
_cell_length_b 4.4303
_cell_length_c 6.5552
_cell_angle_alpha 90.00
_cell_angle_beta 112.66
_cell_angle_gamma 90.00
_symmetry_space_group_name_H-M 'C 1 2/m 1'
_symmetry_Int_Tables_number 12
loop_
_symmetry_equiv_pos_as_xyz
'x,y,z'
'-x,-y,-z'
'-x,y,-z'
'x,-y,z'
'x+1/2,y+1/2,z'
'-x+1/2,-y+1/2,-z'
'-x+1/2,y+1/2,-z'
'x+1/2,-y+1/2,z'
loop_
_atom_site_label
_atom_site_type_symbol
_atom_site_fract_x
_atom_site_fract_y
_atom_site_fract_z
_atom_site_occupancy
Ba1 Ba 0.0000 0.0000 0.0000 1
Al1 Al 0.0000 0.5000 0.5000 1
Tc1 Tc 0.1811 0.0000 0.5436 1



12.
# BaAlTc3 (PBE-GGA, relaxed)
# Formation energy in eV/atom: 2.894
# Total moment in μB per formula unit: 7.436
# E above lowest polymorph in meV per atom: 1651
data_BaAlTc3
_cell_length_a 5.0915
_cell_length_b 5.0915
_cell_length_c 5.0915
_cell_angle_alpha 90.00
_cell_angle_beta 90.00
_cell_angle_gamma 90.00
_symmetry_space_group_name_H-M 'P m -3 m'
_symmetry_Int_Tables_number 221
_symmetry_space_group_name_Hall '-P 4 2 3'
loop_
_atom_site_label
_atom_site_type_symbol
_atom_site_fract_x
_atom_site_fract_y
_atom_site_fract_z
_atom_site_occupancy
Ba1 Ba 0.0000 0.0000 0.0000 1
Al1 Al 0.5000 0.5000 0.5000 1
Tc1 Tc 0.0000 0.0000 0.5000 1